This record from the Alexandria database describes a relaxed structure of Cd2HgBr2. The functional is GGA-PBEsol.

Values from the calculation:
polymorph energy (0 for the lowest one) = 33 meV per atom
crystal system = tetragonal
raw formation energy = -33 kJ per mole of atoms
DOS(E_F) = 0.01 states/eV per atom
VASP energy = -1.68 eV per atom
theoretical density = 6.9 Mg/m³

Cell lengths 8.2773, 8.2773, 4.1222 Å; angles 90.00, 90.00, 90.00 degrees
With the nearest neighbours (Å) after each atom.
Space group P4/mbm (No. 127)
Unique sites:
Cd (0.1131, 0.3869, 0.0000) x4  1 Cd 2.65, 2 Br 2.72
Hg (0.0000, 0.0000, 0.0000) x2  4 Cd 3.34, 8 Br 3.58
Br (0.2357, 0.7357, 0.5000) x4  2 Cd 2.72


This record from the Alexandria database describes a relaxed structure of CdHgBrO2. The functional is GGA-PBEsol.

Values from the calculation:
crystal system = tetragonal
raw formation energy = 36 kJ per mole of atoms
DOS(E_F) = 0.34 states/eV per atom
VASP energy = -2.46 eV per atom
theoretical density = 7.9 Mg/m³

Cell lengths 3.9745, 3.9745, 5.6405 Å; angles 90.00, 90.00, 90.00 degrees
With the nearest neighbours (Å) after each atom.
Space group P4/mmm (No. 123)
Unique sites:
Cd (0.0000, 0.0000, 0.0000) x1  4 Hg 2.81, 2 Br 2.82
Hg (0.5000, 0.5000, 0.0000) x1  4 Cd 2.81
Br (0.0000, 0.0000, 0.5000) x1  4 O 1.99
O (0.0000, 0.5000, 0.5000) x2  2 Br 1.99


This record from the Alexandria database describes a relaxed structure of CdSiHgBr2. The functional is GGA-PBEsol.

Values from the calculation:
crystal system = tetragonal
raw formation energy = 44 kJ per mole of atoms
DOS(E_F) = 0.62 states/eV per atom
VASP energy = -1.79 eV per atom
theoretical density = 5.3 Mg/m³

Cell lengths 5.3196, 5.3196, 5.5415 Å; angles 90.00, 90.00, 90.00 degrees
With the nearest neighbours (Å) after each atom.
Space group P4/mmm (No. 123)
Unique sites:
Cd (0.0000, 0.0000, 0.0000) x1  4 Br 2.66, 2 Hg 2.77
Si (0.5000, 0.5000, 0.5000) x1  4 Hg 3.76, 8 Br 3.84
Hg (0.0000, 0.0000, 0.5000) x1  2 Cd 2.77
Br (0.0000, 0.5000, 0.0000) x2  2 Cd 2.66


This record from the Alexandria database describes a relaxed structure of Rb2CdI2Br2. The functional is GGA-PBEsol.

Values from the calculation:
crystal system = orthorhombic
raw formation energy = -119 kJ per mole of atoms
DOS(E_F) = 0.00 states/eV per atom
VASP energy = -2.74 eV per atom
theoretical density = 4.1 Mg/m³

Cell lengths 11.5458, 11.6150, 8.3825 Å; angles 90.00, 90.00, 90.00 degrees
With the nearest neighbours (Å) after each atom.
Space group Ama2 (No. 40)
Unique sites:
Rb (0.0000, 0.0000, 0.0000) x4  4 Br 3.38-3.54, 2 I 3.69
Rb (0.2500, 0.1821, 0.4531) x4  3 Br 3.31-3.68, 2 I 3.70
Cd (0.2500, 0.2807, 0.9563) x4  2 Br 2.61-2.62, 2 I 2.78
I (0.0522, 0.2960, 0.1434) x8  1 Cd 2.78
Br (0.2500, 0.0771, 0.8203) x4  1 Cd 2.62
Br (0.2500, 0.4309, 0.7240) x4  1 Cd 2.61


This record from the Alexandria database describes a relaxed structure of Cd2InBr. The functional is GGA-PBEsol.

Values from the calculation:
polymorph energy (0 for the lowest one) = 0 meV per atom
crystal system = tetragonal
raw formation energy = -13 kJ per mole of atoms
DOS(E_F) = 0.25 states/eV per atom
VASP energy = -1.95 eV per atom
theoretical density = 7.1 Mg/m³

Cell lengths 3.6147, 3.6147, 7.5334 Å; angles 90.00, 90.00, 90.00 degrees
With the nearest neighbours (Å) after each atom.
Space group P4mm (No. 99)
Unique sites:
Cd (0.0000, 0.0000, 0.0000) x1  4 Cd 3.05, 4 Br 3.13
Cd (0.5000, 0.5000, 0.2207) x1  4 Cd 3.05, 4 In 3.12
In (0.0000, 0.0000, 0.4583) x1  5 Cd 3.12-3.45, 4 Br 3.42
Br (0.5000, 0.5000, 0.7597) x1  5 Cd 3.13-3.47, 4 In 3.42


This record from the Alexandria database describes a relaxed structure of Cd2InBr. The functional is GGA-PBEsol.

Values from the calculation:
polymorph energy (0 for the lowest one) = 74 meV per atom
crystal system = tetragonal
raw formation energy = -6 kJ per mole of atoms
DOS(E_F) = 0.28 states/eV per atom
VASP energy = -1.88 eV per atom
theoretical density = 7.2 Mg/m³

Cell lengths 5.4031, 5.4031, 3.3225 Å; angles 90.00, 90.00, 90.00 degrees
With the nearest neighbours (Å) after each atom.
Space group P4/mmm (No. 123)
Unique sites:
Cd (0.0000, 0.5000, 0.0000) x2  4 In 3.17, 4 Br 3.17, 2 Cd 3.32
In (0.0000, 0.0000, 0.5000) x1  8 Cd 3.17, 2 In 3.32
Br (0.5000, 0.5000, 0.5000) x1  8 Cd 3.17, 2 Br 3.32